Record 1
{
  "formula": "TlCoHg",
  "functional": "PBE",
  "state": "relaxed",
  "space_group": "No. 156",
  "lattice": [[3.259, 0.000, 0.000], [-1.630, 2.822, 0.000], [0.000, 0.000, 6.740]],
  "species": ["Hg", "Co", "Tl"],
  "frac_coords": [[0.667, 0.333, 0.297], [0.000, 0.000, 0.004], [0.333, 0.667, 0.699]]
}

Record 2
{
  "formula": "TlCo3Hg",
  "functional": "PBE",
  "state": "relaxed",
  "space_group": "No. 221",
  "lattice": [[-3.870, -1.282, 2.603], [1.918, -4.386, 0.691], [2.177, 1.585, 4.018]],
  "species": ["Hg", "Co", "Co", "Tl", "Co"],
  "frac_coords": [[0.500, 0.500, 0.500], [0.000, 0.500, 0.000], [0.500, 0.000, 0.000], [0.000, 0.000, 0.000], [0.000, 0.000, 0.500]]
}

Record 3
{
  "formula": "TlCoHg2",
  "functional": "PBE",
  "state": "relaxed",
  "space_group": "No. 65",
  "lattice": [[-0.379, 3.144, 0.018], [-1.842, -0.214, -2.568], [-6.967, -0.869, 5.069]],
  "species": ["Hg", "Co", "Tl", "Hg"],
  "frac_coords": [[0.000, 0.000, 0.939], [0.500, 0.500, 0.750], [0.500, 0.500, 0.250], [0.000, 0.000, 0.561]]
}

Record 4
{
  "formula": "TlCoHg2",
  "functional": "PBE",
  "state": "relaxed",
  "space_group": "No. 44",
  "lattice": [[-5.323, -4.852, 0.479], [-2.752, -5.102, -4.301], [5.115, 3.371, 3.819]],
  "species": ["Hg", "Tl", "Co", "Hg"],
  "frac_coords": [[0.076, 0.076, 0.000], [0.427, 0.427, 0.000], [0.250, 0.750, 0.500], [0.747, 0.247, 0.500]]
}

Record 5
{
  "formula": "TlCoHg2",
  "functional": "PBE",
  "state": "relaxed",
  "space_group": "No. 139",
  "lattice": [[-2.326, 4.179, -3.006], [-4.930, 2.054, 1.842], [5.067, -1.134, 2.224]],
  "species": ["Tl", "Co", "Hg", "Hg"],
  "frac_coords": [[0.250, 0.750, 0.500], [0.750, 0.250, 0.500], [0.000, 0.000, 0.000], [0.500, 0.500, 0.000]]
}

Record 6
{
  "formula": "TlCoHg2",
  "functional": "PBE",
  "state": "relaxed",
  "space_group": "No. 123",
  "lattice": [[4.603, 0.000, 0.000], [0.000, 4.281, 0.000], [0.000, 0.000, 4.281]],
  "species": ["Hg", "Hg", "Co", "Tl"],
  "frac_coords": [[0.000, 0.000, 0.000], [0.000, 0.500, 0.500], [0.500, 0.000, 0.500], [0.500, 0.500, 0.000]]
}

Record 7
{
  "formula": "TlCoHg2",
  "functional": "PBE",
  "state": "relaxed",
  "space_group": "No. 122",
  "lattice": [[-2.544, 3.193, 1.049], [-0.795, -1.850, 3.704], [6.235, 5.603, 6.537]],
  "species": ["Hg", "Hg", "Tl", "Hg", "Co", "Hg", "Co", "Tl"],
  "frac_coords": [[0.375, 0.399, 0.750], [0.149, 0.625, 0.250], [0.000, 0.000, 0.000], [0.875, 0.851, 0.750], [0.250, 0.750, 0.500], [0.601, 0.125, 0.250], [0.500, 0.500, 0.000], [0.750, 0.250, 0.500]]
}

Record 8
{
  "formula": "TlCoHg2",
  "functional": "PBE",
  "state": "relaxed",
  "space_group": "No. 6",
  "lattice": [[-1.699, 0.228, 2.581], [3.183, -1.736, 2.249], [4.147, 5.312, 2.261]],
  "species": ["Hg", "Co", "Tl", "Hg"],
  "frac_coords": [[0.500, 0.185, 0.255], [0.500, 0.988, 0.649], [0.000, 0.506, 0.613], [0.000, 0.821, 0.982]]
}

Number 1: formation energy from the elements 53.1 kJ per mole of atoms. Number 2: formation energy from the elements 154.9 kJ per mole of atoms. Number 3: formation energy from the elements 34.0 kJ per mole of atoms. Number 4: formation energy from the elements 29.7 kJ per mole of atoms. Number 5: formation energy from the elements 51.0 kJ per mole of atoms. Number 6: formation energy from the elements 51.0 kJ per mole of atoms. Number 7: formation energy from the elements 52.1 kJ per mole of atoms. Number 8: formation energy from the elements 31.3 kJ per mole of atoms.